No. 1
Compound: ReIrPt2
Source: the Alexandria database
Functional: PBE
Structure: relaxed

Properties
For the energy relative to the lowest polymorph listed for this composition, the calculation gives 0.1933 eV per atom. The value obtained for the calculated formation energy is 3.2 kJ per mole of atoms. The magnetic moment comes out at 0.5 μB/f.u. The density of states at the Fermi level comes out at 1.397 states/eV per atom.

Cell: 9.215 9.215 9.215 Å, 17.33 17.33 17.33°
Sites, in units of the cell vectors:
Re 0.000 0.000 0.000
Ir 0.500 0.500 0.500
Pt 0.252 0.252 0.252
Pt 0.748 0.748 0.748



No. 2
Compound: Re2IrPt
Source: the Alexandria database
Functional: PBE
Structure: relaxed

Properties
For the energy relative to the lowest polymorph listed for this composition, the calculation gives 0.1018 eV per atom. The value obtained for the calculated formation energy is -5.7 kJ per mole of atoms. The magnetic moment comes out at 0.0 μB/f.u. The density of states at the Fermi level comes out at 0.658 states/eV per atom.

Cell: 4.854 4.854 4.854 Å, 133.36 133.36 68.08°
Sites, in units of the cell vectors:
Re 0.250 0.750 0.500
Re 0.750 0.250 0.500
Ir 0.000 0.000 0.000
Pt 0.500 0.500 0.000



No. 3
Compound: Re2Ir2Pt
Source: the Alexandria database
Functional: PBE
Structure: relaxed

Properties
For the energy relative to the lowest polymorph listed for this composition, the calculation gives 0.0627 eV per atom. The value obtained for the calculated formation energy is 8.4 kJ per mole of atoms. The magnetic moment comes out at 0.0 μB/f.u. The density of states at the Fermi level comes out at 0.629 states/eV per atom.

Cell: 7.578 7.578 2.728 Å, 90.00 90.00 90.00°
Sites, in units of the cell vectors:
Re 0.170 0.330 0.000
Re 0.330 0.830 0.000
Re 0.670 0.170 0.000
Re 0.830 0.670 0.000
Ir 0.124 0.624 0.500
Ir 0.376 0.124 0.500
Ir 0.624 0.876 0.500
Ir 0.876 0.376 0.500
Pt 0.000 0.000 0.500
Pt 0.500 0.500 0.500



No. 4
Compound: Re2IrPt
Source: the Alexandria database
Functional: PBE
Structure: relaxed

Properties
For the energy relative to the lowest polymorph listed for this composition, the calculation gives 0.0678 eV per atom. The value obtained for the calculated formation energy is -8.9 kJ per mole of atoms. The magnetic moment comes out at 0.0 μB/f.u. The density of states at the Fermi level comes out at 0.685 states/eV per atom.

Cell: 2.747 2.747 7.938 Å, 90.00 90.00 90.00°
Sites, in units of the cell vectors:
Re 0.000 0.000 0.000
Re 0.500 0.500 0.252
Ir 0.000 0.000 0.484
Pt 0.500 0.500 0.753



No. 5
Compound: Re2IrPt
Source: the Alexandria database
Functional: PBE
Structure: relaxed

Properties
For the energy relative to the lowest polymorph listed for this composition, the calculation gives 0.0756 eV per atom. The value obtained for the calculated formation energy is -8.2 kJ per mole of atoms. The magnetic moment comes out at 0.0 μB/f.u. The density of states at the Fermi level comes out at 0.755 states/eV per atom.

Cell: 4.792 4.792 4.835 Å, 98.78 98.78 32.98°
Sites, in units of the cell vectors:
Re 0.000 0.000 0.000
Re 0.747 0.747 0.256
Ir 0.258 0.258 0.772
Pt 0.497 0.497 0.502



No. 6
Compound: ReIrPt2
Source: the Alexandria database
Functional: PBE
Structure: relaxed

Properties
For the energy relative to the lowest polymorph listed for this composition, the calculation gives 0.1042 eV per atom. The value obtained for the calculated formation energy is -5.4 kJ per mole of atoms. The magnetic moment comes out at 0.0 μB/f.u. The density of states at the Fermi level comes out at 1.025 states/eV per atom.

Cell: 4.825 4.825 4.825 Å, 132.34 132.34 69.69°
Sites, in units of the cell vectors:
Re 0.000 0.000 0.000
Ir 0.250 0.750 0.500
Pt 0.500 0.500 0.000
Pt 0.750 0.250 0.500



No. 7
Compound: ReIrPt2
Source: the Alexandria database
Functional: PBE
Structure: relaxed

Properties
For the energy relative to the lowest polymorph listed for this composition, the calculation gives 0.1708 eV per atom. The value obtained for the calculated formation energy is 1.0 kJ per mole of atoms. The magnetic moment comes out at 0.0 μB/f.u. The density of states at the Fermi level comes out at 1.064 states/eV per atom.

Cell: 4.855 4.855 4.855 Å, 132.90 132.90 68.81°
Sites, in units of the cell vectors:
Re 0.000 0.000 0.000
Ir 0.500 0.500 0.000
Pt 0.250 0.750 0.500
Pt 0.750 0.250 0.500



No. 8
Compound: ReIrPt
Source: the Alexandria database
Functional: PBE
Structure: relaxed

Properties
For the energy relative to the lowest polymorph listed for this composition, the calculation gives 0.4026 eV per atom. The value obtained for the calculated formation energy is 24.2 kJ per mole of atoms. The magnetic moment comes out at 0.0 μB/f.u. The density of states at the Fermi level comes out at 0.683 states/eV per atom.

Cell: 6.636 6.636 8.054 Å, 91.67 91.67 36.42°
Sites, in units of the cell vectors:
Re 0.098 0.098 0.048
Re 0.168 0.168 0.599
Re 0.832 0.832 0.401
Re 0.902 0.902 0.952
Ir 0.238 0.238 0.314
Ir 0.280 0.280 0.899
Ir 0.720 0.720 0.101
Ir 0.762 0.762 0.686
Pt 0.029 0.029 0.345
Pt 0.445 0.445 0.147
Pt 0.555 0.555 0.853
Pt 0.971 0.971 0.655



No. 9
Compound: Re2IrPt
Source: the Alexandria database
Functional: PBE
Structure: relaxed

Properties
For the energy relative to the lowest polymorph listed for this composition, the calculation gives 0.0000 eV per atom. The value obtained for the calculated formation energy is -15.5 kJ per mole of atoms. The magnetic moment comes out at 0.0 μB/f.u. The density of states at the Fermi level comes out at 0.834 states/eV per atom.

Cell: 2.752 4.433 4.863 Å, 90.00 90.00 90.00°
Sites, in units of the cell vectors:
Re 0.000 0.000 0.000
Re 0.000 0.500 0.319
Ir 0.500 0.500 0.829
Pt 0.500 0.000 0.500



No. 10
Compound: ReIrPt
Source: the Alexandria database
Functional: PBE
Structure: relaxed

Properties
For the energy relative to the lowest polymorph listed for this composition, the calculation gives 0.2569 eV per atom. The value obtained for the calculated formation energy is 10.1 kJ per mole of atoms. The magnetic moment comes out at 0.0 μB/f.u. The density of states at the Fermi level comes out at 1.060 states/eV per atom.

Cell: 4.411 4.411 2.693 Å, 90.00 90.00 120.00°
Sites, in units of the cell vectors:
Re 0.000 0.000 0.000
Ir 0.667 0.333 0.500
Pt 0.333 0.667 0.500



No. 11
Compound: Re2IrPt
Source: the Alexandria database
Functional: PBE
Structure: relaxed

Properties
For the energy relative to the lowest polymorph listed for this composition, the calculation gives 0.0931 eV per atom. The value obtained for the calculated formation energy is -6.5 kJ per mole of atoms. The magnetic moment comes out at 0.0 μB/f.u. The density of states at the Fermi level comes out at 0.923 states/eV per atom.

Cell: 2.724 4.008 5.452 Å, 90.00 90.00 90.00°
Sites, in units of the cell vectors:
Re 0.000 0.000 0.241
Re 0.000 0.000 0.759
Ir 0.500 0.500 0.000
Pt 0.500 0.500 0.500



No. 12
Compound: Re2Ir2Pt
Source: the Alexandria database
Functional: PBE
Structure: relaxed

Properties
For the energy relative to the lowest polymorph listed for this composition, the calculation gives 0.0000 eV per atom. The value obtained for the calculated formation energy is 2.3 kJ per mole of atoms. The magnetic moment comes out at 0.0 μB/f.u. The density of states at the Fermi level comes out at 0.704 states/eV per atom.

Cell: 6.755 6.755 6.755 Å, 156.52 141.76 45.36°
Sites, in units of the cell vectors:
Re 0.211 0.211 0.000
Re 0.789 0.789 0.000
Ir 0.397 0.897 0.500
Ir 0.603 0.103 0.500
Pt 0.000 0.500 0.500



What did the third record say?
Compound: Re2Ir2Pt
Source: the Alexandria database
Functional: PBE
Structure: relaxed

Properties
For the energy relative to the lowest polymorph listed for this composition, the calculation gives 0.0627 eV per atom. The value obtained for the calculated formation energy is 8.4 kJ per mole of atoms. The magnetic moment comes out at 0.0 μB/f.u. The density of states at the Fermi level comes out at 0.629 states/eV per atom.

Cell: 7.578 7.578 2.728 Å, 90.00 90.00 90.00°
Sites, in units of the cell vectors:
Re 0.170 0.330 0.000
Re 0.330 0.830 0.000
Re 0.670 0.170 0.000
Re 0.830 0.670 0.000
Ir 0.124 0.624 0.500
Ir 0.376 0.124 0.500
Ir 0.624 0.876 0.500
Ir 0.876 0.376 0.500
Pt 0.000 0.000 0.500
Pt 0.500 0.500 0.500